Version P
The following is a PBE calculation of a relaxed structure of NiOs2Pt, from the Alexandria database.

Unit cell a=8.8828 b=8.8828 c=8.8828 alpha=17.64 beta=17.64 gamma=17.64
Atoms (fractional coordinates):
Os (0.2540, 0.2540, 0.2540)
Ni (0.7477, 0.7477, 0.7477)
Pt (0.4971, 0.4971, 0.4971)
Os (0.0012, 0.0012, 0.0012)

Properties
calculated density: 18.75 g cm⁻³
total moment: 0.126 μB per formula unit

=====

Version Q
The following is a PBE calculation of a relaxed structure of NiOs2Pt, from the Alexandria database.

Unit cell a=4.1284 b=2.6992 c=5.3362 alpha=70.97 beta=90.00 gamma=90.00
Atoms (fractional coordinates):
Ni (0.5000, 0.7500, 0.7500)
Os (0.0000, 0.6118, 0.5188)
Os (0.0000, 0.8882, 0.9812)
Pt (0.5000, 0.2500, 0.2500)

Properties
calculated density: 18.73 g cm⁻³
total moment: 0.000 μB per formula unit

=====

Of them, the most stable is version P and the least stable is version Q.

=====

Version P
The following is a PBE calculation of a relaxed structure of NiOs2Pt, from the Alexandria database.

Unit cell a=2.7092 b=3.8482 c=5.3494 alpha=90.00 beta=90.00 gamma=90.00
Atoms (fractional coordinates):
Ni (0.5000, 0.5000, 0.7500)
Os (0.0000, 0.0000, 0.5194)
Os (0.0000, 0.0000, 0.9806)
Pt (0.5000, 0.5000, 0.2500)

Properties
calculated density: 18.88 g cm⁻³
total moment: 0.000 μB per formula unit

=====

Version Q
The following is a PBE calculation of a relaxed structure of NiOs2Pt, from the Alexandria database.

Unit cell a=2.6731 b=2.6731 c=9.1948 alpha=90.00 beta=90.00 gamma=118.85
Atoms (fractional coordinates):
Os (0.5000, 0.5000, 0.7587)
Os (0.0000, 0.0000, 0.0090)
Pt (0.0000, 0.0000, 0.4880)
Ni (0.5000, 0.5000, 0.2444)

Properties
calculated density: 18.30 g cm⁻³
total moment: 0.304 μB per formula unit

=====

Of them, the most stable is version P and the least stable is version Q.

=====

Version P
The following is a PBE calculation of a relaxed structure of NiOsPt2, from the Alexandria database.

Unit cell a=6.8501 b=6.8501 c=5.5269 alpha=51.71 beta=51.71 gamma=90.00
Atoms (fractional coordinates):
Pt (0.8750, 0.8689, 0.7500)
Os (0.7500, 0.2500, 0.5000)
Os (0.0000, 0.0000, 0.0000)
Ni (0.2500, 0.7500, 0.5000)
Pt (0.3750, 0.3811, 0.7500)
Pt (0.6189, 0.1250, 0.2500)
Ni (0.5000, 0.5000, 0.0000)
Pt (0.1311, 0.6250, 0.2500)

Properties
calculated density: 16.99 g cm⁻³
total moment: 0.000 μB per formula unit

=====

Version Q
The following is a PBE calculation of a relaxed structure of NiOsPt2, from the Alexandria database.

Unit cell a=4.3586 b=4.3586 c=4.3586 alpha=60.00 beta=60.00 gamma=60.00
Atoms (fractional coordinates):
Pt (0.2500, 0.2500, 0.2500)
Os (0.5000, 0.5000, 0.5000)
Ni (0.0000, 0.0000, 0.0000)
Pt (0.7500, 0.7500, 0.7500)

Properties
calculated density: 18.12 g cm⁻³
total moment: 1.758 μB per formula unit

=====

Of them, the most stable is version Q and the least stable is version P.

=====

Version P
The following is a PBE calculation of a relaxed structure of NiOsPt3, from the Alexandria database.

Unit cell a=4.7961 b=4.7961 c=4.7961 alpha=90.00 beta=90.00 gamma=90.00
Atoms (fractional coordinates):
Pt (0.0000, 0.5000, 0.0000)
Pt (0.5000, 0.0000, 0.0000)
Os (0.0000, 0.0000, 0.0000)
Pt (0.0000, 0.0000, 0.5000)
Ni (0.5000, 0.5000, 0.5000)

Properties
calculated density: 12.56 g cm⁻³
total moment: 0.000 μB per formula unit

=====

Version Q
The following is a PBE calculation of a relaxed structure of NiOsPt3, from the Alexandria database.

Unit cell a=4.4801 b=4.4801 c=4.4801 alpha=90.00 beta=90.00 gamma=90.00
Atoms (fractional coordinates):
Os (0.5000, 0.5000, 0.5000)
Ni (0.0000, 0.0000, 0.0000)
Pt (0.0000, 0.5000, 0.0000)
Pt (0.0000, 0.0000, 0.5000)
Pt (0.5000, 0.0000, 0.0000)

Properties
calculated density: 15.40 g cm⁻³
total moment: 3.371 μB per formula unit

=====

Of them, the most stable is version Q and the least stable is version P.

=====

Version P
The following is a PBE calculation of a relaxed structure of NiOsPt, from the Alexandria database.

Unit cell a=5.9167 b=5.9167 c=5.9167 alpha=153.55 beta=153.55 gamma=37.76
Atoms (fractional coordinates):
Ni (0.9932, 0.9932, 0.0000)
Os (0.3418, 0.3418, 0.0000)
Pt (0.6649, 0.6649, 0.0000)

Properties
calculated density: 17.97 g cm⁻³
total moment: 0.000 μB per formula unit

=====

Version Q
The following is a PBE calculation of a relaxed structure of NiOsPt, from the Alexandria database.

Unit cell a=4.6324 b=4.6324 c=4.6324 alpha=145.95 beta=131.95 gamma=60.20
Atoms (fractional coordinates):
Ni (0.0056, 0.0056, 0.0000)
Os (0.6609, 0.6609, 0.0000)
Pt (0.3335, 0.3335, 0.0000)

Properties
calculated density: 17.98 g cm⁻³
total moment: 0.000 μB per formula unit

=====

Version R
The following is a PBE calculation of a relaxed structure of NiOsPt, from the Alexandria database.

Unit cell a=7.2457 b=7.0039 c=2.6604 alpha=84.41 beta=74.16 gamma=21.43
Atoms (fractional coordinates):
Ni (0.9967, 0.9967, 0.0033)
Os (0.3428, 0.3428, 0.6572)
Pt (0.6605, 0.6605, 0.3395)

Properties
calculated density: 17.35 g cm⁻³
total moment: 0.011 μB per formula unit

=====

Of them, the most stable is version P and the least stable is version R.

=====

Version P
The following is a PBE calculation of a relaxed structure of NiOsPt, from the Alexandria database.

Unit cell a=2.7174 b=2.7174 c=6.4753 alpha=90.00 beta=90.00 gamma=120.00
Atoms (fractional coordinates):
Ni (0.0000, 0.0000, 0.0097)
Os (0.6667, 0.3333, 0.3171)
Pt (0.3333, 0.6667, 0.6732)

Properties
calculated density: 17.80 g cm⁻³
total moment: 0.000 μB per formula unit

=====

Version Q
The following is a PBE calculation of a relaxed structure of NiOsPt, from the Alexandria database.

Unit cell a=2.7360 b=3.7208 c=9.7716 alpha=90.00 beta=124.02 gamma=90.00
Atoms (fractional coordinates):
Ni (0.2658, 0.7500, 0.2581)
Os (0.9062, 0.7500, 0.5780)
Pt (0.4403, 0.2500, 0.0953)
Ni (0.7342, 0.2500, 0.7419)
Pt (0.5597, 0.7500, 0.9047)
Os (0.0938, 0.2500, 0.4220)

Properties
calculated density: 17.88 g cm⁻³
total moment: 0.000 μB per formula unit

=====

Of them, the most stable is version Q and the least stable is version P.